# ZrTeI2N meta-GGA SCAN PBEsol geometry
# Energy relative to the elements, uncorrected in eV/f.u.: 2.0
# Theoretical density in Mg/m³: 4.5
data_ZrTeI2N
_cell_length_a 5.726
_cell_length_b 5.726
_cell_length_c 5.491
_cell_angle_alpha 90.00
_cell_angle_beta 90.00
_cell_angle_gamma 90.00
_space_group_name_H-M_alt 'P 4/m m m'
_space_group_IT_number 123
_space_group_name_Hall '-P 4 2'
loop_
_atom_site_label
_atom_site_type_symbol
_atom_site_fract_x
_atom_site_fract_y
_atom_site_fract_z
_atom_site_occupancy
Zr1 Zr 0.000 0.000 0.000 1
Te1 Te 0.000 0.000 0.500 1
I1 I 0.000 0.500 0.000 1
N1 N 0.500 0.500 0.500 1